Material: La2CoCl
Method: DFT, PBE
State: optimized geometry

Results
ΔE to the lowest computed polymorph = 1.24 eV/f.u.
total magnetic moment = 0.00 μB per formula unit
E_form (uncorrected) = -627 meV per atom
density = 6.264 g/cm3
calculated volume = 24.666 A^3/atom

Unit cell a=5.325 b=5.325 c=5.322 alpha=133.57 beta=108.31 gamma=89.84
Fractional positions:
La (0.021, 0.021, 0.000)
La (0.479, 0.479, 0.000)
Co (0.250, 0.750, 0.500)
Cl (0.750, 0.250, 0.500)